A geometry-optimized Cs3Ac3MoO8 structure. Source: Alexandria via LeMat-Bulk, functional PBE with a Hubbard U.

M_tot (Bohr magnetons per cell): 2.00
Electronic total energy (eV/cell): -96.60

Structure (POSCAR):
```
Cs3Ac3MoO8
1.0
-2.7856 1.9365 6.6987
4.1679 -6.1575 -0.6952
3.9059 7.2315 -0.4663
Cs Ac Mo O
3 3 1 8
Direct
0.0000 0.0000 0.0000
0.0000 0.5000 0.0000
0.5000 0.5000 0.0000
0.5000 0.0000 0.5000
0.5000 0.5000 0.5000
0.0000 0.5000 0.5000
0.0000 0.0000 0.5000
0.2741 0.5483 0.3257
0.7259 0.4517 0.6743
0.8064 0.6127 0.3446
0.1936 0.3873 0.6554
0.8015 0.0409 0.3438
0.1985 0.9591 0.6562
0.2394 0.0409 0.3438
0.7606 0.9591 0.6562
```